# 1
This record from the Alexandria database describes an optimized crystal structure of BeZnIr2N. The functional is GGA-PBE.

Values from the calculation:
crystal system: tetragonal
energy: -5.51 eV per atom
ΔE_f (raw): 695 meV per atom

a = 4.469 Å, b = 4.469 Å, c = 3.074 Å
α = 90.00°, β = 90.00°, γ = 90.00°
Space group P4/mmm (No. 123)
Inequivalent atoms, fractional coordinates:
Be: 0.000 0.000 0.000 x1
Zn: 0.500 0.500 0.500 x1
Ir: 0.000 0.500 0.000 x2
N: 0.000 0.000 0.500 x1

# 2
This record from the Alexandria database describes an optimized crystal structure of Zr2BeIrN. The functional is GGA-PBE.

Values from the calculation:
crystal system: tetragonal
energy: -8.57 eV per atom
ΔE_f (raw): -968 meV per atom

a = 4.588 Å, b = 4.588 Å, c = 3.392 Å
α = 90.00°, β = 90.00°, γ = 90.00°
Space group P4/mmm (No. 123)
Inequivalent atoms, fractional coordinates:
Zr: 0.000 0.500 0.000 x2
Be: 0.000 0.000 0.500 x1
Ir: 0.500 0.500 0.500 x1
N: 0.000 0.000 0.000 x1

# 3
This record from the Alexandria database describes an optimized crystal structure of Na2BeIr. The functional is GGA-PBE.

Values from the calculation:
crystal system: tetragonal
energy: -3.16 eV per atom
formation energy from the elements: 0.65 eV/atom

a = 9.760 Å, b = 9.760 Å, c = 4.160 Å
α = 90.00°, β = 90.00°, γ = 90.00°
Space group I-42d (No. 122)
Inequivalent atoms, fractional coordinates:
Na: 0.104 0.250 0.125 x8
Be: 0.000 0.000 0.000 x4
Ir: 0.000 0.000 0.500 x4

# 4
This record from the Alexandria database describes an optimized crystal structure of NaBeIr2. The functional is GGA-PBE.

Values from the calculation:
crystal system: tetragonal
energy: -5.06 eV per atom
formation energy from the elements: 0.63 eV/atom

a = 4.687 Å, b = 4.687 Å, c = 15.650 Å
α = 90.00°, β = 90.00°, γ = 90.00°
Space group I-42d (No. 122)
Inequivalent atoms, fractional coordinates:
Na: 0.000 0.000 0.000 x4
Be: 0.000 0.000 0.500 x4
Ir: 0.039 0.250 0.625 x8

# 5
This record from the Alexandria database describes an optimized crystal structure of NaBe2Ir. The functional is GGA-PBE.

Values from the calculation:
crystal system: tetragonal
energy: -4.04 eV per atom
formation energy from the elements: 0.37 eV/atom

a = 4.481 Å, b = 4.481 Å, c = 14.836 Å
α = 90.00°, β = 90.00°, γ = 90.00°
Space group I-42d (No. 122)
Inequivalent atoms, fractional coordinates:
Na: 0.000 0.000 0.000 x4
Be: 0.001 0.250 0.625 x8
Ir: 0.000 0.000 0.500 x4

# 6
This record from the Alexandria database describes an optimized crystal structure of NaBe2Ir2. The functional is GGA-PBE.

Values from the calculation:
crystal system: tetragonal
energy: -5.41 eV per atom
formation energy from the elements: -0.11 eV/atom
relative energy among the computed polymorphs: 0 meV per atom

a = 6.946 Å, b = 6.946 Å, c = 2.686 Å
α = 90.00°, β = 90.00°, γ = 90.00°
Space group P4/mbm (No. 127)
Inequivalent atoms, fractional coordinates:
Na: 0.000 0.000 0.000 x2
Be: 0.146 0.354 0.000 x4
Ir: 0.142 0.642 0.500 x4

# 7
This record from the Alexandria database describes an optimized crystal structure of NaBe2Ir2. The functional is GGA-PBE.

Values from the calculation:
crystal system: tetragonal
energy: -5.25 eV per atom
formation energy from the elements: 0.05 eV/atom
relative energy among the computed polymorphs: 164 meV per atom

a = 4.065 Å, b = 4.065 Å, c = 8.953 Å
α = 90.00°, β = 90.00°, γ = 90.00°
Space group I4/mmm (No. 139)
Inequivalent atoms, fractional coordinates:
Na: 0.000 0.000 0.000 x2
Be: 0.000 0.500 0.250 x4
Ir: 0.000 0.000 0.363 x4

# 8
This record from the Alexandria database describes an optimized crystal structure of NaBeIrO4. The functional is GGA-PBE.

Values from the calculation:
crystal system: tetragonal
energy: -6.06 eV per atom
ΔE_f (raw): -1243 meV per atom

a = 5.465 Å, b = 5.465 Å, c = 6.305 Å
α = 90.00°, β = 90.00°, γ = 90.00°
Space group I-4 (No. 82)
Inequivalent atoms, fractional coordinates:
Na: 0.000 0.000 0.000 x2
Be: 0.000 0.500 0.250 x2
Ir: 0.000 0.000 0.500 x2
O: 0.121 0.305 0.414 x8

# 9
This record from the Alexandria database describes an optimized crystal structure of Na2BeIrO4. The functional is GGA-PBE.

Values from the calculation:
crystal system: orthorhombic
energy: -5.59 eV per atom
ΔE_f (raw): -1203 meV per atom

a = 5.251 Å, b = 11.062 Å, c = 16.787 Å
α = 90.00°, β = 90.00°, γ = 90.00°
Space group Fddd (No. 70, origin choice 2)
Inequivalent atoms, fractional coordinates:
Na: 0.125 0.125 0.312 x16
Be: 0.125 0.125 0.625 x8
Ir: 0.125 0.125 0.125 x8
O: 0.090 0.281 0.839 x32

# 10
This record from the Alexandria database describes an optimized crystal structure of NaBeIrO5. The functional is GGA-PBE.

Values from the calculation:
crystal system: monoclinic
energy: -6.07 eV per atom
ΔE_f (raw): -1232 meV per atom

a = 6.472 Å, b = 8.619 Å, c = 7.147 Å
α = 90.00°, β = 115.65°, γ = 90.00°
Space group C2/c (No. 15)
Inequivalent atoms, fractional coordinates:
Na: 0.000 0.157 0.250 x4
Be: 0.000 0.190 0.750 x4
Ir: 0.000 0.500 0.000 x4
O: 0.000 0.417 0.250 x4
O: 0.103 0.302 0.628 x8
O: 0.194 0.070 0.912 x8

# 11
This record from the Alexandria database describes an optimized crystal structure of NaBe2IrO8. The functional is GGA-PBE.

Values from the calculation:
crystal system: trigonal
energy: -5.63 eV per atom
ΔE_f (raw): -855 meV per atom

a = 5.2105 Å, b = 5.2105 Å, c = 6.4900 Å
α = 90.00°, β = 90.00°, γ = 120.00°
Space group P-3m1 (No. 164)
Inequivalent atoms, fractional coordinates:
Na: 0.0000 0.0000 0.0000 x1
Be: 0.3333 0.6667 0.2527 x2
Ir: 0.0000 0.0000 0.5000 x1
O: 0.1661 0.3322 0.3303 x6
O: 0.3333 0.6667 0.0026 x2

# 12
This record from the Alexandria database describes an optimized crystal structure of NaBeSiIr2. The functional is GGA-PBE.

Values from the calculation:
crystal system: tetragonal
energy: -5.28 eV per atom
ΔE_f (raw): 357 meV per atom

a = 4.241 Å, b = 4.241 Å, c = 4.061 Å
α = 90.00°, β = 90.00°, γ = 90.00°
Space group P4/mmm (No. 123)
Inequivalent atoms, fractional coordinates:
Na: 0.000 0.000 0.000 x1
Be: 0.500 0.500 0.500 x1
Si: 0.500 0.500 0.000 x1
Ir: 0.000 0.500 0.500 x2

# 13
This record from the Alexandria database describes an optimized crystal structure of Be2Nb3Ir5. The functional is GGA-PBE.

Values from the calculation:
crystal system: tetragonal
energy: -8.74 eV per atom
formation energy from the elements: -0.55 eV/atom

a = 9.071 Å, b = 9.071 Å, c = 3.511 Å
α = 90.00°, β = 90.00°, γ = 90.00°
Space group P4/mbm (No. 127)
Inequivalent atoms, fractional coordinates:
Be: 0.119 0.381 0.000 x4
Nb: 0.000 0.000 0.000 x2
Nb: 0.176 0.676 0.000 x4
Ir: 0.000 0.500 0.500 x2
Ir: 0.074 0.211 0.500 x8

# 14
This record from the Alexandria database describes an optimized crystal structure of BeNb2Ir2. The functional is GGA-PBE.

Values from the calculation:
crystal system: tetragonal
energy: -8.45 eV per atom
formation energy from the elements: -0.13 eV/atom

a = 7.465 Å, b = 7.465 Å, c = 3.001 Å
α = 90.00°, β = 90.00°, γ = 90.00°
Space group P4/mbm (No. 127)
Inequivalent atoms, fractional coordinates:
Be: 0.000 0.000 0.000 x2
Nb: 0.169 0.331 0.500 x4
Ir: 0.131 0.631 0.000 x4

# 15
This record from the Alexandria database describes an optimized crystal structure of Be3NbIr. The functional is GGA-PBE.

Values from the calculation:
crystal system: cubic
energy: -5.74 eV per atom
formation energy from the elements: 0.28 eV/atom
relative energy among the computed polymorphs: 0 meV per atom

a = 4.097 Å, b = 4.097 Å, c = 4.097 Å
α = 90.00°, β = 90.00°, γ = 90.00°
Space group Pm-3m (No. 221)
Inequivalent atoms, fractional coordinates:
Be: 0.000 0.000 0.500 x3
Nb: 0.500 0.500 0.500 x1
Ir: 0.000 0.000 0.000 x1

# 16
This record from the Alexandria database describes an optimized crystal structure of Be4NbIr. The functional is GGA-PBE.

Values from the calculation:
crystal system: cubic
energy: -6.05 eV per atom
formation energy from the elements: -0.41 eV/atom

a = 6.320 Å, b = 6.320 Å, c = 6.320 Å
α = 90.00°, β = 90.00°, γ = 90.00°
Space group F-43m (No. 216)
Inequivalent atoms, fractional coordinates:
Be: 0.124 0.124 0.376 x16
Nb: 0.250 0.250 0.750 x4
Ir: 0.000 0.000 0.000 x4

# 17
This record from the Alexandria database describes an optimized crystal structure of Be17NbIr. The functional is GGA-PBE.

Values from the calculation:
crystal system: trigonal
energy: -4.54 eV per atom
formation energy from the elements: -0.21 eV/atom

a = 7.3103 Å, b = 7.3103 Å, c = 10.6587 Å
α = 90.00°, β = 90.00°, γ = 120.00°
Space group R3m (No. 160, hexagonal axes)
Inequivalent atoms, fractional coordinates:
Be: 0.0000 0.0000 0.0516 x3
Be: 0.0000 0.0000 0.2521 x3
Be: 0.0378 0.3650 0.8204 x18
Be: 0.1707 0.3414 0.6353 x9
Be: 0.1733 0.3466 0.9916 x9
Be: 0.1740 0.3480 0.3333 x9
Nb: 0.0000 0.0000 0.4941 x3
Ir: 0.0000 0.0000 0.8191 x3

# 18
This record from the Alexandria database describes an optimized crystal structure of Be8Nb3Ir. The functional is GGA-PBE.

Values from the calculation:
crystal system: trigonal
energy: -6.10 eV per atom
formation energy from the elements: -0.36 eV/atom
relative energy among the computed polymorphs: 0 meV per atom

a = 4.5316 Å, b = 4.5316 Å, c = 7.4634 Å
α = 90.00°, β = 90.00°, γ = 120.00°
Space group P3m1 (No. 156)
Inequivalent atoms, fractional coordinates:
Be: 0.0000 0.0000 0.0000 x1
Be: 0.0000 0.0000 0.4937 x1
Be: 0.1690 0.3379 0.2480 x3
Be: 0.3370 0.1685 0.7534 x3
Nb: 0.3333 0.6667 0.5679 x1
Nb: 0.3333 0.6667 0.9428 x1
Nb: 0.6667 0.3333 0.4315 x1
Ir: 0.6667 0.3333 0.0659 x1

# 19
This record from the Alexandria database describes an optimized crystal structure of Be8NbIr3. The functional is GGA-PBE.

Values from the calculation:
crystal system: trigonal
energy: -6.00 eV per atom
formation energy from the elements: -0.46 eV/atom

a = 4.4212 Å, b = 4.4212 Å, c = 7.2664 Å
α = 90.00°, β = 90.00°, γ = 120.00°
Space group P3m1 (No. 156)
Inequivalent atoms, fractional coordinates:
Be: 0.0000 0.0000 0.0000 x1
Be: 0.0000 0.0000 0.4928 x1
Be: 0.1691 0.3382 0.7602 x3
Be: 0.3388 0.1694 0.2331 x3
Nb: 0.6667 0.3333 0.5539 x1
Ir: 0.3333 0.6667 0.0668 x1
Ir: 0.3333 0.6667 0.4524 x1
Ir: 0.6667 0.3333 0.9116 x1

# 20
This record from the Alexandria database describes an optimized crystal structure of Be9Nb2Ir. The functional is GGA-PBE.

Values from the calculation:
crystal system: trigonal
energy: -5.43 eV per atom
formation energy from the elements: -0.22 eV/atom

a = 4.4797 Å, b = 4.4797 Å, c = 21.0462 Å
α = 90.00°, β = 90.00°, γ = 120.00°
Space group R-3m (No. 166, hexagonal axes)
Inequivalent atoms, fractional coordinates:
Be: 0.0000 0.0000 0.0000 x3
Be: 0.0000 0.0000 0.1652 x6
Be: 0.0014 0.5007 0.5810 x18
Nb: 0.0000 0.0000 0.3558 x6
Ir: 0.0000 0.0000 0.5000 x3